# 1
BeIr2Rh after structural relaxation, computed with PBEsol.

Computed properties:
formation energy: -0.26 eV/atom

Cell lengths 2.727, 2.727, 6.579 Å; angles 90.00, 90.00, 90.00 degrees
Space group P4mm (No. 99)
Asymmetric unit:
1 Be 0.000 0.000 0.000
2 Ir 0.000 0.000 0.502
3 Ir 0.500 0.500 0.216
4 Rh 0.500 0.500 0.792


# 2
BaFe2Mo after structural relaxation, computed with PBEsol.

Computed properties:
formation energy: 0.72 eV/atom
energy above the most stable polymorph in this dataset: 0.133 eV per atom

Cell lengths 3.132, 3.132, 7.553 Å; angles 90.00, 90.00, 90.00 degrees
Space group P4mm (No. 99)
Asymmetric unit:
1 Ba 0.000 0.000 0.000
2 Fe 0.000 0.000 0.481
3 Fe 0.500 0.500 0.335
4 Mo 0.500 0.500 0.639


# 3
Zr2AlPt after structural relaxation, computed with PBEsol.

Computed properties:
formation energy: -0.67 eV/atom

Cell lengths 5.794, 8.081, 3.096 Å; angles 90.00, 90.00, 90.00 degrees
Space group Cmmm (No. 65)
Asymmetric unit:
1 Zr 0.250 0.250 0.000
2 Al 0.000 0.000 0.500
3 Pt 0.000 0.500 0.500


# 4
Ag2IrBr after structural relaxation, computed with PBEsol.

Computed properties:
energy above the most stable polymorph in this dataset: 0.227 eV per atom
formation energy (no corrections): 765 meV/atom

Cell lengths 3.901, 3.901, 8.964 Å; angles 90.00, 90.00, 90.00 degrees
Space group I4/mmm (No. 139)
Asymmetric unit:
1 Ag 0.000 0.500 0.250
2 Ir 0.000 0.000 0.000
3 Br 0.000 0.000 0.500


# 5
BeSiOs2 after structural relaxation, computed with PBEsol.

Computed properties:
formation energy (no corrections): -258 meV/atom

Cell lengths 2.927, 2.927, 5.561 Å; angles 90.00, 90.00, 90.00 degrees
Space group P4mm (No. 99)
Asymmetric unit:
1 Be 0.000 0.000 0.000
2 Si 0.500 0.500 0.771
3 Os 0.000 0.000 0.535
4 Os 0.500 0.500 0.201


# 6
BaCa2Pd2 after structural relaxation, computed with PBEsol.

Computed properties:
formation energy: -0.45 eV/atom
energy above the most stable polymorph in this dataset: 0.000 eV per atom

Cell lengths 4.711, 4.711, 12.537 Å; angles 90.00, 90.00, 90.00 degrees
Space group I4/mmm (No. 139)
Asymmetric unit:
1 Ba 0.000 0.000 0.000
2 Ca 0.000 0.500 0.250
3 Pd 0.000 0.000 0.394


Copy entry 6 word for word.
BaCa2Pd2 after structural relaxation, computed with PBEsol.

Computed properties:
formation energy: -0.45 eV/atom
energy above the most stable polymorph in this dataset: 0.000 eV per atom

Cell lengths 4.711, 4.711, 12.537 Å; angles 90.00, 90.00, 90.00 degrees
Space group I4/mmm (No. 139)
Asymmetric unit:
1 Ba 0.000 0.000 0.000
2 Ca 0.000 0.500 0.250
3 Pd 0.000 0.000 0.394


Please write out number 5 again, unchanged.
BeSiOs2 after structural relaxation, computed with PBEsol.

Computed properties:
formation energy (no corrections): -258 meV/atom

Cell lengths 2.927, 2.927, 5.561 Å; angles 90.00, 90.00, 90.00 degrees
Space group P4mm (No. 99)
Asymmetric unit:
1 Be 0.000 0.000 0.000
2 Si 0.500 0.500 0.771
3 Os 0.000 0.000 0.535
4 Os 0.500 0.500 0.201


What is the formula in the fifth record? BeSiOs2